[1]
A plane-wave DFT calculation with PBE was carried out for a relaxed BaMgRu crystal.

Lattice parameters (Å, degrees): 7.0613 7.0613 7.0613 90.00 90.00 90.00
Closest atoms and distances in Å follow each position.
Space group F-43m (No. 216)
One atom of each set of equivalent atoms:
Ba1 0.0000 0.0000 0.0000  4 Ru 3.06, 4 Mg 3.06
Mg1 0.2500 0.2500 0.2500  4 Ba 3.06
Ru1 0.2500 0.2500 0.7500  4 Ba 3.06

total DFT energy (no corrections): -2.919 eV per atom
DOS at the Fermi energy: 5.4 states/eV/f.u.
M_tot: 0.00 μB/atom
ΔE_f: 1.345 eV per atom

=====

[2]
A plane-wave DFT calculation with PBE was carried out for a relaxed MgTaNi crystal.

Lattice parameters (Å, degrees): 6.0857 6.0857 6.0857 90.00 90.00 90.00
Closest atoms and distances in Å follow each position.
Space group F-43m (No. 216)
One atom of each set of equivalent atoms:
Mg1 0.0000 0.0000 0.0000  4 Ta 2.64
Ta1 0.2500 0.2500 0.7500  4 Mg 2.64, 4 Ni 2.64
Ni1 0.0000 0.0000 0.5000  4 Ta 2.64

total DFT energy (no corrections): -5.456 eV per atom
DOS at the Fermi energy: 4.7 states/eV/f.u.
M_tot: 0.00 μB/atom
energy above the most stable polymorph in this dataset: 2.814 eV/f.u.
ΔE_f: 0.954 eV per atom